No. 1
Below is a relaxed TbSm4Dy7 crystal, with properties calculated at the GGA-PBE level.

The calculation puts the density at 8.06 g cm⁻³. The energy of formation from the pure elements comes out at 0.087 eV/atom. The value obtained for the polymorph energy (0 for the lowest one) is 0 meV/atom. For the raw total energy, the calculation gives -4.556 eV/atom.

It has space group P-1 (No. 2), with a = 6.5374 Å, b = 6.8222 Å, c = 9.0926 Å, α = 85.47°, β = 77.10° and γ = 82.04°. The inequivalent atoms are Tb at (0.0000, 0.0000, 0.0000), Sm at (0.1610, 0.6158, 0.3080), Sm at (0.3610, 0.1906, 0.7168), Dy at (0.0000, 0.5000, 0.0000), Dy at (0.1897, 0.1058, 0.3860), Dy at (0.3168, 0.6982, 0.6404) and Dy at (0.4871, 0.2482, 0.0515).

***

No. 2
Below is a relaxed AlGeW crystal, with properties calculated at the GGA-PBE level.

The calculation puts the density at 9.57 g cm⁻³. The energy of formation from the pure elements comes out at 0.159 eV/atom. The value obtained for the polymorph energy (0 for the lowest one) is 243 meV/atom. For the raw total energy, the calculation gives -6.945 eV/atom.

It has space group P2/m (No. 10), with a = 4.8962 Å, b = 2.6964 Å, c = 7.8358 Å, α = 90.00°, β = 108.01° and γ = 90.00°. The inequivalent atoms are Al at (0.1974, 0.0000, 0.3966), Ge at (0.2415, 0.0000, 0.0000) and W at (0.3648, 0.5000, 0.7261).

***

No. 3
Below is a relaxed AlRu crystal, with properties calculated at the GGA-PBE level.

The calculation puts the density at 7.83 g cm⁻³. The energy of formation from the pure elements comes out at -0.653 eV/atom. For the raw total energy, the calculation gives -7.162 eV/atom.

It has space group Pm-3m (No. 221), with a = 3.0061 Å, b = 3.0061 Å, c = 3.0061 Å, α = 90.00°, β = 90.00° and γ = 90.00°. The inequivalent atoms are Al at (0.0000, 0.0000, 0.0000) and Ru at (0.5000, 0.5000, 0.5000).

***

No. 4
Below is a relaxed AlAg2Mo crystal, with properties calculated at the GGA-PBE level.

The calculation puts the density at 8.56 g cm⁻³. The energy of formation from the pure elements comes out at 0.259 eV/atom. For the raw total energy, the calculation gives -4.810 eV/atom.

It has space group Cmmm (No. 65), with a = 3.8666 Å, b = 3.9375 Å, c = 8.6267 Å, α = 90.00°, β = 90.00° and γ = 90.00°. The inequivalent atoms are Al at (0.0000, 0.0000, 0.0000), Ag at (0.0000, 0.5000, 0.2388) and Mo at (0.0000, 0.0000, 0.5000).

***

No. 5
Below is a relaxed KTiIn crystal, with properties calculated at the GGA-PBE level.

The calculation puts the density at 3.80 g cm⁻³. The energy of formation from the pure elements comes out at 0.290 eV/atom. The value obtained for the polymorph energy (0 for the lowest one) is 249 meV/atom. For the raw total energy, the calculation gives -3.620 eV/atom.

It has space group P-1 (No. 2), with a = 3.1419 Å, b = 7.4334 Å, c = 8.0436 Å, α = 76.15°, β = 78.77° and γ = 78.10°. The inequivalent atoms are K at (0.0871, 0.1024, 0.2112), Ti at (0.2977, 0.3549, 0.5463) and In at (0.3803, 0.5789, 0.1632).

***

No. 6
Below is a relaxed SrZr2In crystal, with properties calculated at the GGA-PBE level.

The calculation puts the density at 5.70 g cm⁻³. The energy of formation from the pure elements comes out at 0.209 eV/atom. For the raw total energy, the calculation gives -5.170 eV/atom.

It has space group Pmmm (No. 47), with a = 3.3203 Å, b = 4.2481 Å, c = 7.9548 Å, α = 90.00°, β = 90.00° and γ = 90.00°. The inequivalent atoms are Sr at (0.0000, 0.0000, 0.0000), Zr at (0.5000, 0.5000, 0.3137) and In at (0.0000, 0.0000, 0.5000).

***

No. 7
Below is a relaxed NdHoHgOs crystal, with properties calculated at the GGA-PBE level.

The calculation puts the density at 12.47 g cm⁻³. The energy of formation from the pure elements comes out at -0.184 eV/atom. For the raw total energy, the calculation gives -5.403 eV/atom.

It has space group F-43m (No. 216), with a = 7.1975 Å, b = 7.1975 Å, c = 7.1975 Å, α = 90.00°, β = 90.00° and γ = 90.00°. The inequivalent atoms are Nd at (0.0000, 0.0000, 0.0000), Ho at (0.0000, 0.0000, 0.5000), Hg at (0.2500, 0.2500, 0.2500) and Os at (0.2500, 0.2500, 0.7500).

***

No. 8
Below is a relaxed Er6InIr crystal, with properties calculated at the GGA-PBE level.

The calculation puts the density at 8.96 g cm⁻³. The energy of formation from the pure elements comes out at -0.156 eV/atom. For the raw total energy, the calculation gives -5.028 eV/atom.

It has space group C2/m (No. 12), with a = 7.1066 Å, b = 11.2407 Å, c = 6.6114 Å, α = 90.00°, β = 113.05° and γ = 90.00°. The inequivalent atoms are Er at (0.2043, 0.1943, 0.2419), Er at (0.2308, 0.0000, 0.7722), In at (0.0000, 0.5000, 0.5000) and Ir at (0.0000, 0.0000, 0.0000).